1.
DFT (PBE-GGA) results for Ho5Pb5N after structural relaxation.

Summary:
**D(E_F)**: 6.24 states/eV per cell
**Raw formation energy**: -0.45 eV per atom
**Theoretical density**: 10.3 g cm⁻³
**Electronic total energy**: -54.8 eV for the cell shown
**Magnetization**: 0.00 μB/cell
**Crystal system**: monoclinic

abc: 5.882 6.845 9.118
angles: 112.13 90.00 115.44
Fractional coordinates of all 11 atoms:
Ho1 0.845 0.690 0.091
Ho2 0.861 0.723 0.735
Ho3 0.500 0.000 0.000
Ho4 0.139 0.277 0.265
Ho5 0.155 0.310 0.909
Pb1 0.712 0.425 0.350
Pb2 0.593 0.186 0.726
Pb3 0.000 0.000 0.500
Pb4 0.407 0.814 0.274
Pb5 0.288 0.575 0.650
N1 0.000 0.000 0.000

2.
DFT (PBE-GGA) results for La2MgMn after structural relaxation.

Summary:
**D(E_F)**: 5.70 states/eV per cell
**Theoretical density**: 5.2 g cm⁻³
**Electronic total energy**: -19.9 eV for the cell shown
**Magnetization**: 3.14 μB/cell
**Formation enthalpy at 0 K**: 0.1735 eV/atom
**Crystal system**: monoclinic

abc: 5.044 3.573 6.599
angles: 74.21 90.00 90.00
Last column: magnetic moment on the atom in μB.
Fractional coordinates of all 4 atoms:
La1 0.000 0.968 0.938  0.19
La2 0.500 0.283 0.311  0.15
Mg1 0.000 0.687 0.503  0.01
Mn1 0.500 0.563 0.748  -3.71

3.
DFT (PBE-GGA) results for LiCa3Tc after structural relaxation.

Summary:
**D(E_F)**: 8.01 states/eV per cell
**Theoretical density**: 2.3 g cm⁻³
**Electronic total energy**: -13.2 eV for the cell shown
**Magnetization**: 2.46 μB/cell
**Distance to the lowest polymorph of the same formula**: 52.2 kJ per mole of atoms
**Formation enthalpy at 0 K**: 1.0212 eV/atom
**Crystal system**: cubic

abc: 5.473 5.473 5.473
angles: 90.00 90.00 90.00
Last column: magnetic moment on the atom in μB.
Fractional coordinates of all 5 atoms:
Ca1 0.000 0.500 0.000  -0.06
Ca2 0.000 0.000 0.500  -0.04
Ca3 0.500 0.000 0.000  -0.08
Tc1 0.500 0.500 0.500  2.91
Li1 0.000 0.000 0.000  -0.02

4.
DFT (PBE-GGA) results for BaIr3F after structural relaxation.

Summary:
**D(E_F)**: 7.60 states/eV per cell
**Raw formation energy**: 1.01 eV per atom
**Theoretical density**: 12.7 g cm⁻³
**Electronic total energy**: -25.3 eV for the cell shown
**Magnetization**: 0.00 μB/cell
**Distance to the lowest polymorph of the same formula**: 0.0 kJ per mole of atoms
**Crystal system**: cubic

abc: 4.571 4.571 4.571
angles: 90.00 90.00 90.00
Fractional coordinates of all 5 atoms:
Ir1 0.000 0.500 0.000
Ir2 0.000 0.000 0.500
Ir3 0.500 0.000 0.000
Ba1 0.500 0.500 0.500
F1 0.000 0.000 0.000

5.
DFT (PBE-GGA) results for LiNd2Ge3Pt4 after structural relaxation.

Summary:
**D(E_F)**: 5.18 states/eV per cell
**Theoretical density**: 11.3 g cm⁻³
**Electronic total energy**: -58.8 eV for the cell shown
**Magnetization**: 0.00 μB/cell
**Formation enthalpy at 0 K**: -0.9308 eV/atom
**Crystal system**: tetragonal

abc: 4.309 4.309 10.245
angles: 90.00 90.00 90.00
Fractional coordinates of all 10 atoms:
Li1 0.500 0.500 0.500
Nd1 0.500 0.000 0.253
Nd2 0.000 0.500 0.747
Ge1 0.000 0.000 0.500
Ge2 0.500 0.000 0.866
Ge3 0.000 0.500 0.134
Pt1 0.500 0.500 0.000
Pt2 0.000 0.000 0.000
Pt3 0.500 0.000 0.627
Pt4 0.000 0.500 0.373

6.
DFT (PBE-GGA) results for Be2BiAu2 after structural relaxation.

Summary:
**D(E_F)**: 1.03 states/eV per cell
**Theoretical density**: 11.6 g cm⁻³
**Electronic total energy**: -18.2 eV for the cell shown
**Magnetization**: 0.00 μB/cell
**Distance to the lowest polymorph of the same formula**: 0.0 kJ per mole of atoms
**Formation enthalpy at 0 K**: -0.0706 eV/atom
**Crystal system**: tetragonal

abc: 3.444 3.444 7.865
angles: 77.35 77.35 90.00
Fractional coordinates of all 5 atoms:
Be1 0.750 0.250 0.500
Be2 0.250 0.750 0.500
Au1 0.356 0.356 0.288
Au2 0.644 0.644 0.712
Bi1 0.000 0.000 0.000

7.
DFT (PBE-GGA) results for Tm3Tl2PbF12 after structural relaxation.

Summary:
**D(E_F)**: 1.82 states/eV per cell
**Raw formation energy**: -3.29 eV per atom
**Theoretical density**: 6.1 g cm⁻³
**Electronic total energy**: -103.5 eV for the cell shown
**Magnetization**: 0.99 μB/cell
**Crystal system**: trigonal

abc: 7.804 7.804 7.804
angles: 64.11 64.11 64.11
Last column: magnetic moment on the atom in μB.
Fractional coordinates of all 18 atoms:
Tm1 0.500 0.000 0.000  0.01
Tm2 0.000 0.500 0.000  0.01
Tm3 0.000 0.000 0.500  0.01
Tl1 0.638 0.638 0.638  0.01
Tl2 0.362 0.362 0.362  0.01
Pb1 0.000 0.000 0.000  0.29
F1 0.291 0.291 0.914  0.01
F2 0.873 0.873 0.408  0.01
F3 0.408 0.873 0.873  0.01
F4 0.914 0.291 0.291  0.01
F5 0.873 0.408 0.873  0.01
F6 0.291 0.914 0.291  0.01
F7 0.709 0.709 0.086  0.01
F8 0.127 0.127 0.592  0.01
F9 0.592 0.127 0.127  0.01
F10 0.086 0.709 0.709  0.01
F11 0.127 0.592 0.127  0.01
F12 0.709 0.086 0.709  0.01

8.
DFT (PBE-GGA) results for Rb2GaGeAu6 after structural relaxation.

Summary:
**D(E_F)**: 2.49 states/eV per cell
**Theoretical density**: 9.7 g cm⁻³
**Electronic total energy**: -31.5 eV for the cell shown
**Magnetization**: 0.00 μB/cell
**Formation enthalpy at 0 K**: -0.2247 eV/atom
**Crystal system**: triclinic

abc: 7.201 7.038 7.212
angles: 60.96 58.54 90.01
Fractional coordinates of all 10 atoms:
Rb1 0.707 0.291 0.415
Rb2 0.293 0.709 0.585
Ga1 0.000 0.000 0.000
Ge1 0.500 0.500 0.000
Au1 0.158 0.252 0.498
Au2 0.750 0.842 0.907
Au3 0.250 0.748 0.097
Au4 0.750 0.252 0.903
Au5 0.250 0.158 0.093
Au6 0.842 0.748 0.502